CeNd5Hg6 (PBE, relaxed); energy of formation from the pure elements = -0.44 eV/atom
1.0
5.301 0.002 -1.118
-0.004 7.712 -0.001
-1.004 0.000 8.522
Hg Nd Ce
6 5 1
direct
0.500 0.750 0.000
0.500 0.250 0.000
0.166 0.750 0.334
0.166 0.250 0.334
0.834 0.250 0.666
0.834 0.750 0.666
0.335 0.000 0.668
0.000 0.500 0.000
0.665 0.500 0.332
0.335 0.500 0.668
0.665 0.000 0.332
0.000 0.000 0.000

=====

Ce2NdHg5 (PBE, relaxed); energy of formation from the pure elements = -0.35 eV/atom
1.0
-0.333 -3.662 3.661
4.920 -1.368 -0.921
0.157 7.694 4.033
Hg Ce Nd
5 2 1
direct
0.121 0.621 0.243
0.379 0.879 0.757
0.879 0.379 0.757
0.500 0.500 0.000
0.621 0.121 0.243
0.265 0.265 0.531
0.735 0.735 0.469
0.000 0.000 0.000

=====

CeNd2Hg8 (PBE, relaxed); energy above the lowest structure with this stoichiometry = 0.013 eV per atom; energy of formation from the pure elements = -0.32 eV/atom
1.0
5.041 0.000 -1.531
-0.902 6.676 -2.969
-0.076 -0.149 8.814
Hg Nd Ce
8 2 1
direct
0.350 0.564 0.701
0.157 0.157 0.314
0.000 0.712 0.000
0.843 0.843 0.686
0.000 0.288 0.000
0.650 0.864 0.299
0.350 0.136 0.701
0.650 0.436 0.299
0.810 0.310 0.620
0.190 0.690 0.380
0.500 0.000 0.000

=====

Ce2Nd2Hg7 (PBE, relaxed); energy of formation from the pure elements = -0.04 eV/atom
1.0
7.101 -0.003 -0.439
0.003 7.157 0.003
-0.881 -0.003 7.059
Hg Nd Ce
7 2 2
direct
0.000 0.000 0.000
0.500 0.289 0.000
0.000 0.711 0.500
0.500 0.290 0.500
0.000 0.289 0.500
0.500 0.710 0.500
0.500 0.711 0.000
0.806 0.500 0.806
0.194 0.500 0.194
0.292 0.000 0.708
0.708 0.000 0.292

=====

CeNd2Hg7 (PBE, relaxed); energy of formation from the pure elements = -0.24 eV/atom
1.0
-3.629 -3.253 1.692
4.921 -1.530 -0.251
1.869 4.073 11.836
Ce Hg Nd
1 7 2
direct
0.000 0.000 0.010
0.000 0.000 0.753
0.000 0.000 0.265
0.667 0.333 0.109
0.333 0.667 0.438
0.333 0.667 0.948
0.667 0.333 0.596
0.667 0.333 0.854
0.333 0.667 0.691
0.667 0.333 0.352

=====

Ce2Nd3Hg7 (PBE, relaxed); energy of formation from the pure elements = -0.27 eV/atom
1.0
-3.661 1.533 3.771
-2.351 -4.676 -0.382
8.361 -1.987 8.927
Hg Nd Ce
7 3 2
direct
0.500 0.080 0.160
0.500 0.920 0.840
0.000 0.724 0.448
0.000 0.000 0.000
0.000 0.276 0.552
0.000 0.426 0.852
0.000 0.574 0.148
0.500 0.335 0.669
0.500 0.665 0.331
0.500 0.500 0.000
0.000 0.856 0.712
0.000 0.144 0.288

=====

CeNdHg3 (PBE, relaxed); energy above the lowest structure with this stoichiometry = 0.000 eV per atom; energy of formation from the pure elements = -0.37 eV/atom
1.0
3.482 0.000 -0.479
0.000 5.024 0.000
0.312 0.000 15.148
Hg Ce Nd
6 2 2
direct
0.324 0.750 0.649
0.524 0.750 0.048
0.621 0.750 0.241
0.476 0.250 0.952
0.379 0.250 0.759
0.676 0.250 0.351
0.787 0.250 0.573
0.213 0.750 0.427
0.074 0.250 0.147
0.926 0.750 0.853

=====

CeNdHg2 (PBE, relaxed); energy above the lowest structure with this stoichiometry = 0.156 eV per atom; energy of formation from the pure elements = -0.22 eV/atom
1.0
3.725 0.000 0.000
1.863 3.226 0.000
1.863 1.075 9.922
Hg Ce Nd
2 1 1
direct
0.750 0.750 0.749
0.250 0.250 0.251
0.000 0.000 0.000
0.500 0.500 0.500

=====

CeNdNiHg (PBE, relaxed); energy of formation from the pure elements = -0.19 eV/atom
1.0
5.195 0.000 0.000
2.597 4.499 0.000
2.597 1.500 4.241
Ce Nd Ni Hg
1 1 1 1
direct
0.500 0.500 0.500
0.000 0.000 0.000
0.250 0.250 0.250
0.750 0.750 0.750

=====

CeNd2Hg2Pb2 (PBE, relaxed); energy of formation from the pure elements = -0.23 eV/atom
1.0
-0.168 1.659 4.868
-3.409 -2.012 3.288
4.929 -6.558 5.125
Pb Hg Ce Nd
2 2 1 2
direct
0.274 0.274 0.179
0.726 0.726 0.821
0.569 0.569 0.294
0.431 0.431 0.706
0.000 0.000 0.000
0.130 0.130 0.610
0.870 0.870 0.390

=====

Ce2NdHg2Pb2 (PBE, relaxed); energy of formation from the pure elements = -0.22 eV/atom
1.0
4.999 0.000 0.000
2.500 4.329 0.000
2.500 1.443 9.349
Pb Ce Hg Nd
2 2 2 1
direct
0.727 0.727 0.820
0.273 0.273 0.180
0.142 0.142 0.573
0.858 0.858 0.427
0.566 0.566 0.301
0.434 0.434 0.699
0.000 0.000 0.000

=====

CeNdHgPb (PBE, relaxed); energy above the lowest structure with this stoichiometry = 0.000 eV per atom; energy of formation from the pure elements = -0.42 eV/atom
1.0
-4.466 2.522 0.502
-2.567 -4.318 -1.149
3.396 -0.161 4.570
Nd Pb Hg Ce
1 1 1 1
direct
0.250 0.750 0.500
0.000 0.000 0.000
0.500 0.500 0.000
0.750 0.250 0.500